Record 1
# CsKBeS2 | Alexandria via LeMat-Bulk | GGA-PBE | relaxed
# Space-group type: Cmme (67)
# E_form (uncorrected), meV per atom: -1015
# Density of states at the Fermi level, states/eV/atom: 0.00
# Size of the total moment, μB/cell: 0.00
# Calculated density, g/cm³: 2.1
data_CsKBeS2
_cell_length_a 9.1492
_cell_length_b 9.1492
_cell_length_c 5.2167
_cell_angle_alpha 90.00
_cell_angle_beta 90.00
_cell_angle_gamma 118.60
_symmetry_space_group_name_H-M 'P 1'
_symmetry_Int_Tables_number 1
_symmetry_space_group_name_Hall 'P 1'
loop_
_atom_site_label
_atom_site_fract_x
_atom_site_fract_y
_atom_site_fract_z
_atom_site_occupancy
Cs1 0.2500 0.7500 0.7904 1
Cs2 0.7500 0.2500 0.2096 1
K1 0.2500 0.2500 0.0000 1
K2 0.7500 0.7500 0.0000 1
Be1 0.0000 0.0000 0.5000 1
Be2 0.5000 0.5000 0.5000 1
S1 0.0995 0.9005 0.3034 1
S2 0.4005 0.5995 0.3034 1
S3 0.5995 0.4005 0.6966 1
S4 0.9005 0.0995 0.6966 1

=====

Record 2
# HoTmIr2 | Alexandria via LeMat-Bulk | GGA-PBE | relaxed
# Space-group type: Fm-3m (225)
# DFT formation energy, meV/atom: -878
# ΔE to the lowest computed polymorph, eV/atom: 0.008
# Density of states at the Fermi level, states/eV/atom: 0.66
# Size of the total moment, μB/cell: 0.00
# Calculated density, g/cm³: 15.2
data_HoTmIr2
_cell_length_a 4.8033
_cell_length_b 4.8033
_cell_length_c 4.8033
_cell_angle_alpha 60.00
_cell_angle_beta 60.00
_cell_angle_gamma 60.00
_symmetry_space_group_name_H-M 'P 1'
_symmetry_Int_Tables_number 1
_symmetry_space_group_name_Hall 'P 1'
loop_
_atom_site_label
_atom_site_fract_x
_atom_site_fract_y
_atom_site_fract_z
_atom_site_occupancy
Ho1 0.0000 0.0000 0.0000 1
Tm1 0.5000 0.5000 0.5000 1
Ir1 0.2500 0.2500 0.2500 1
Ir2 0.7500 0.7500 0.7500 1